Entry 1:
VASP calculation (GGA-PBE) on a relaxed Li2Zn2In2NiAu crystal.

- raw total energy (eV per formula unit) = -22.93

```
Li2Zn2In2NiAu
1.0
4.434 0.000 0.000
0.000 4.434 0.000
0.000 0.000 6.442
Au In Li Ni Zn
1 2 2 1 2
Direct
0.000 0.000 0.000
0.000 0.500 0.273
0.500 0.000 0.727
0.500 0.500 0.000
0.000 0.000 0.500
0.500 0.500 0.500
0.500 0.000 0.268
0.000 0.500 0.732
```

Entry 2:
VASP calculation (GGA-PBE) on a relaxed Hf2GaO4 crystal.

- raw total energy (eV per formula unit) = -60.37

```
Hf2GaO4
1.0
4.639 -4.641 0.000
-4.639 0.000 -4.641
4.639 4.641 0.000
Ga Hf O
2 4 8
Direct
0.000 0.000 0.000
0.750 0.500 0.250
0.375 0.750 0.125
0.375 0.250 0.625
0.375 0.750 0.625
0.875 0.250 0.625
0.188 0.792 0.396
0.604 0.208 0.396
0.604 0.792 0.396
0.146 0.292 0.438
0.604 0.208 0.812
0.146 0.708 0.854
0.146 0.292 0.854
0.562 0.708 0.854
```

Entry 3:
VASP calculation (GGA-PBE) on a relaxed Ba2YOsS6 crystal.

- polymorph energy (0 for the lowest one) (meV/atom) = 0.1

```
Ba2YOsS6
1.0
6.077 -3.483 0.000
6.077 3.483 0.000
-4.155 0.000 5.823
Ba Os S Y
2 1 6 1
Direct
0.749 0.749 0.246
0.251 0.251 0.754
0.000 0.000 0.000
0.730 0.207 0.201
0.207 0.730 0.201
0.235 0.235 0.295
0.765 0.765 0.705
0.793 0.270 0.799
0.270 0.793 0.799
0.500 0.500 0.500
```

Entry 4:
VASP calculation (GGA-PBE) on a relaxed Er3Ni crystal.

- DFT formation energy (meV/atom) = 33.2

```
Er3Ni
1.0
6.795 0.000 0.000
-3.397 5.884 0.000
0.000 0.000 4.757
Er Ni
6 2
Direct
0.180 0.359 0.250
0.641 0.820 0.250
0.180 0.820 0.250
0.820 0.180 0.750
0.359 0.180 0.750
0.820 0.641 0.750
0.667 0.333 0.250
0.333 0.667 0.750
```

Which formula does entry 1 have? Li2Zn2In2NiAu